(1)
A plane-wave DFT calculation with GGA-PBEsol was carried out for crystalline BeOsSe at its relaxed geometry.

Unit cell a=3.876 b=3.876 c=3.876 alpha=60.00 beta=60.00 gamma=60.00
Sites, in units of the cell vectors:
Be 0.250 0.250 0.250
Se 0.500 0.500 0.500
Os 0.000 0.000 0.000

Results
- energy relative to the elements, uncorrected (kJ per mole of atoms) = 66.3
- energy (eV/cell) = -18.00
- magnetic moment (μB per formula unit) = 0.0
- energy relative to the lowest polymorph listed for this composition (meV per atom) = 391
- mass density (g/cm3) = 11.22
- space-group type = F-43m (216)

***

(2)
A plane-wave DFT calculation with GGA-PBEsol was carried out for crystalline In2SnPtF at its relaxed geometry.

Unit cell a=4.692 b=4.710 c=4.710 alpha=90.00 beta=90.00 gamma=90.00
Sites, in units of the cell vectors:
Pt 0.500 0.500 0.500
In 0.000 0.500 0.000
In 0.000 0.000 0.500
Sn 0.500 0.000 0.000
F 0.000 0.000 0.000

Results
- energy relative to the elements, uncorrected (kJ per mole of atoms) = -22.5
- energy (eV/cell) = -20.28
- magnetic moment (μB per formula unit) = 0.0
- mass density (g/cm3) = 8.97
- space-group type = P4/mmm (123)

***

(3)
A plane-wave DFT calculation with GGA-PBEsol was carried out for crystalline AgGe3B at its relaxed geometry.

Unit cell a=4.868 b=4.868 c=4.868 alpha=90.00 beta=90.00 gamma=90.00
Sites, in units of the cell vectors:
Ge 0.000 0.000 0.500
Ge 0.500 0.000 0.000
Ge 0.000 0.500 0.000
Ag 0.000 0.000 0.000
B 0.500 0.500 0.500

Results
- energy (eV/cell) = -17.08
- magnetic moment (μB per formula unit) = 0.0
- ΔH_f (0 K) (eV per formula unit) = 8.1
- energy relative to the lowest polymorph listed for this composition (meV per atom) = 981
- mass density (g/cm3) = 4.85
- space-group type = Pm-3m (221)